# 1
# PmPaTe2

An optimized crystal structure of PmPaTe2 (GGA-PBE, the Alexandria database).

Geometry as POSCAR:
```
PmPaTe2
1.0
-1.271 -2.950 2.410
2.257 -1.164 3.112
-4.366 5.543 7.831
Pm Te Pa
1 2 1
Direct
0.000 0.000 0.000
0.100 0.100 0.699
0.900 0.900 0.301
0.500 0.500 0.500
```

Summary:
SG	No. 166
energy relative to the lowest polymorph listed for this composition	0.426	eV per atom

---

# 2
# Li3YMg3

An optimized crystal structure of Li3YMg3 (GGA-PBE, the Alexandria database).

Geometry as POSCAR:
```
Li3YMg3
1.0
7.029 0.000 0.000
0.000 7.029 0.000
0.000 0.000 7.029
Mg Li Y
6 6 2
Direct
0.500 0.000 0.750
0.000 0.750 0.500
0.750 0.500 0.000
0.500 0.000 0.250
0.250 0.500 0.000
0.000 0.250 0.500
0.500 0.750 0.000
0.000 0.500 0.250
0.750 0.000 0.500
0.250 0.000 0.500
0.500 0.250 0.000
0.000 0.500 0.750
0.500 0.500 0.500
0.000 0.000 0.000
```

Summary:
E	-27.79	eV per cell
SG	No. 223

---

# 3
# Sm2Zn2Se

An optimized crystal structure of Sm2Zn2Se (GGA-PBE, the Alexandria database).

Geometry as POSCAR:
```
Sm2Zn2Se
1.0
-0.375 1.783 -3.779
0.616 -4.140 0.286
-7.585 -0.942 2.662
Se Zn Sm
1 2 2
Direct
0.000 0.000 0.000
0.342 0.172 0.514
0.658 0.828 0.486
0.815 0.408 0.223
0.185 0.592 0.777
```

Summary:
E	-20.13	eV per cell
SG	No. 12

---

# 4
# HfAg2Br

An optimized crystal structure of HfAg2Br (GGA-PBE, the Alexandria database).

Geometry as POSCAR:
```
HfAg2Br
1.0
0.000 3.493 3.493
3.493 0.000 3.493
3.493 3.493 0.000
Br Ag Hf
1 2 1
Direct
0.000 0.000 0.000
0.250 0.250 0.250
0.750 0.750 0.750
0.500 0.500 0.500
```

Summary:
SG	No. 225
energy relative to the lowest polymorph listed for this composition	0.317	eV per atom

---

# 5
# MgGa3Pt3

An optimized crystal structure of MgGa3Pt3 (GGA-PBE, the Alexandria database).

Geometry as POSCAR:
```
MgGa3Pt3
1.0
-0.538 2.127 6.523
-6.116 -3.114 0.511
3.109 -5.757 2.134
Ga Pt Mg
6 6 2
Direct
0.000 0.500 0.250
0.500 0.250 0.000
0.500 0.750 0.000
0.750 0.000 0.500
0.000 0.500 0.750
0.250 0.000 0.500
0.250 0.500 0.000
0.500 0.000 0.250
0.000 0.750 0.500
0.750 0.500 0.000
0.500 0.000 0.750
0.000 0.250 0.500
0.000 0.000 0.000
0.500 0.500 0.500
```

Summary:
SG	No. 223
energy relative to the lowest polymorph listed for this composition	0.519	eV per atom

---

# 6
# PmThCoPt

An optimized crystal structure of PmThCoPt (GGA-PBE, the Alexandria database).

Geometry as POSCAR:
```
PmThCoPt
1.0
5.008 0.000 0.000
2.504 4.337 0.000
2.504 1.446 4.089
Co Pm Pt Th
1 1 1 1
Direct
0.250 0.250 0.250
0.000 0.000 0.000
0.750 0.750 0.750
0.500 0.500 0.500
```

Summary:
SG	No. 216
energy relative to the lowest polymorph listed for this composition	0.194	eV per atom

---

# 7
# Ac2Ga3Pt9

An optimized crystal structure of Ac2Ga3Pt9 (GGA-PBE, the Alexandria database).

Geometry as POSCAR:
```
Ac2Ga3Pt9
1.0
-1.216 -6.547 -4.211
5.281 0.047 5.847
-7.826 1.608 7.055
Ga Pt Ac
6 18 4
Direct
0.856 0.179 0.501
0.500 0.500 0.500
0.178 0.355 0.999
0.822 0.645 0.001
0.500 0.000 0.000
0.144 0.821 0.499
0.546 0.179 0.565
0.211 0.701 0.068
0.458 0.918 0.748
0.227 0.535 0.574
0.789 0.299 0.932
0.879 0.129 0.750
0.539 0.346 0.074
0.121 0.871 0.250
0.866 0.857 0.568
0.330 0.290 0.248
0.773 0.465 0.426
0.542 0.082 0.252
0.134 0.143 0.432
0.886 0.020 0.065
0.670 0.710 0.752
0.461 0.654 0.926
0.114 0.980 0.935
0.454 0.821 0.435
0.336 0.245 0.751
0.994 0.585 0.749
0.664 0.755 0.249
0.006 0.415 0.251
```

Summary:
E	-165.50	eV per cell
SG	No. 15

---

# 8
# AcHoGa

An optimized crystal structure of AcHoGa (GGA-PBE, the Alexandria database).

Geometry as POSCAR:
```
AcHoGa
1.0
3.701 0.000 0.000
0.000 3.701 0.000
-1.851 -1.851 6.691
Ac Ho Ga
1 1 1
Direct
0.017 0.017 0.033
0.301 0.301 0.603
0.682 0.682 0.364
```

Summary:
SG	No. 107
energy relative to the lowest polymorph listed for this composition	0.080	eV per atom